# LaTe2Ir2 (GGA-PBE, relaxed)
# energy relative to the lowest polymorph listed for this composition: 0 meV/atom
# calculated total energy: -6.2553 eV per atom
# D(E_F): 5.86 states/eV per cell
# formation energy from raw total energies: -0.469 eV/atom
data_LaTe2Ir2
_chemical_formula_sum 'La2 Te4 Ir4'
_cell_length_a 4.8333
_cell_length_b 4.8333
_cell_length_c 9.8768
_cell_angle_alpha 90.00
_cell_angle_beta 90.00
_cell_angle_gamma 90.00
_space_group_name_H-M_alt 'I 4/m m m'
_space_group_IT_number 139
_space_group_name_Hall '-I 4 2'
loop_
_atom_site_label
_atom_site_fract_x
_atom_site_fract_y
_atom_site_fract_z
La1 0.0000 0.0000 0.0000
Te1 0.0000 0.5000 0.2500
Ir1 0.0000 0.0000 0.3666